First-principles (GGA-PBE) data for a relaxed structure of Mn3NbFe, as listed in Alexandria.

Lattice parameters (Å, degrees): 7.190 7.190 4.417 90.00 90.00 143.81
Element x y z (fractional)
Mn 0.000 0.000 0.000
Mn 0.000 0.000 0.500
Mn 0.133 0.389 0.750
Mn 0.389 0.133 0.250
Mn 0.611 0.867 0.750
Mn 0.867 0.611 0.250
Nb 0.200 0.800 0.750
Nb 0.800 0.200 0.250
Fe 0.444 0.556 0.250
Fe 0.556 0.444 0.750

Values from the calculation:
Crystal system ... orthorhombic
Spin magnetization ... 4.1 μB per formula unit
Relative energy among the computed polymorphs ... 0.000 eV/f.u.
Energy of formation ... 0.326 eV/atom
Density ... 7.7 g/cm3
Fermi-level density of states ... 6.99 states/eV/f.u.